No. 1
# Cd12AgAu6

A relaxed structure of Cd12AgAu6 (PBE, Alexandria).

```
data_Cd12AgAu6
_space_group_name_H-M_alt 'R -3'
_space_group_IT_number 148
_space_group_name_Hall '-R 3'
_cell_length_a 12.4762
_cell_length_b 12.4762
_cell_length_c 11.0076
_cell_angle_alpha 90.00
_cell_angle_beta 90.00
_cell_angle_gamma 120.00
loop_
_atom_site_label
_atom_site_type_symbol
_atom_site_fract_x
_atom_site_fract_y
_atom_site_fract_z
Cd1 Cd 0.0418 0.8152 0.4050
Cd2 Cd 0.0527 0.8164 0.9199
Ag1 Ag 0.0000 0.0000 0.0000
Au1 Au 0.0436 0.8018 0.6648
```

* formation energy from the elements: -0.04 eV/atom
* theoretical density: 8.86 g/cm³
* total moment: 0.0 Bohr magnetons per cell

---

No. 2
# Zr2CuBr

A relaxed structure of Zr2CuBr (PBE, Alexandria).

```
data_Zr2CuBr
_space_group_name_H-M_alt 'P 1 2/m 1'
_space_group_IT_number 10
_space_group_name_Hall '-P 2y'
_cell_length_a 3.2335
_cell_length_b 3.2268
_cell_length_c 7.4757
_cell_angle_alpha 90.00
_cell_angle_beta 90.10
_cell_angle_gamma 90.00
loop_
_atom_site_label
_atom_site_type_symbol
_atom_site_fract_x
_atom_site_fract_y
_atom_site_fract_z
Zr1 Zr 0.0002 0.0000 0.2219
Cu1 Cu 0.5000 0.5000 0.0000
Br1 Br 0.5000 0.5000 0.5000
```

* theoretical density: 6.94 g/cm³
* uncorrected formation energy: -0.16 eV/atom
* total moment: 0.0 Bohr magnetons per cell

---

No. 3
# Ag2AsS

A relaxed structure of Ag2AsS (PBE, Alexandria).

```
data_Ag2AsS
_space_group_name_H-M_alt 'P 1 21/m 1'
_space_group_IT_number 11
_space_group_name_Hall '-P 2yb'
_cell_length_a 5.7398
_cell_length_b 3.6856
_cell_length_c 8.3804
_cell_angle_alpha 90.00
_cell_angle_beta 108.84
_cell_angle_gamma 90.00
loop_
_atom_site_label
_atom_site_type_symbol
_atom_site_fract_x
_atom_site_fract_y
_atom_site_fract_z
Ag1 Ag 0.1753 0.2500 0.4607
Ag2 Ag 0.2461 0.7500 0.1913
As1 As 0.3807 0.7500 0.6989
S1 S 0.1221 0.7500 0.8568
```

* theoretical density: 6.39 g/cm³
* uncorrected formation energy: 0.11 eV/atom
* total moment: 0.0 Bohr magnetons per cell

---

What did we get for total energy? Answer: -1.807; -5.872; -3.514 eV/atom, in the order shown.
What did we get for energy above the lowest structure with this stoichiometry? Answer: 82; 43; 0 meV per atom, in the order shown.